No. 1
DFT (GGA-PBE) results for a relaxed structure of Tm2Mg3Tl2.

## Properties
Formation enthalpy at 0 K in meV per atom: -112
VASP energy in eV/f.u.: -19.25

Cell: 4.635 5.981 7.132 Å, 96.50 90.00 112.80°
Fractional coordinates of all 7 atoms:
Tm (0.609, 0.219, 0.341)
Tm (0.391, 0.781, 0.659)
Mg (0.305, 0.611, 0.128)
Mg (0.000, 0.000, 0.000)
Mg (0.695, 0.389, 0.872)
Tl (0.112, 0.224, 0.645)
Tl (0.888, 0.776, 0.355)

No. 2
DFT (GGA-PBE) results for a relaxed structure of Cs3PmAg2Cl9.

## Properties
VASP energy in eV/f.u.: -53.26
Energy relative to the elements, uncorrected in eV per formula unit: -23.63

Cell: 7.604 7.604 9.421 Å, 90.00 90.00 120.00°
Fractional coordinates of all 15 atoms:
Cs (0.333, 0.667, 0.684)
Cs (0.000, 0.000, 0.000)
Cs (0.667, 0.333, 0.316)
Pm (0.000, 0.000, 0.500)
Ag (0.333, 0.667, 0.150)
Ag (0.667, 0.333, 0.850)
Cl (0.832, 0.168, 0.666)
Cl (0.832, 0.664, 0.666)
Cl (0.336, 0.168, 0.666)
Cl (0.664, 0.832, 0.334)
Cl (0.168, 0.336, 0.334)
Cl (0.168, 0.832, 0.334)
Cl (0.500, 0.000, 0.000)
Cl (0.000, 0.500, 0.000)
Cl (0.500, 0.500, 0.000)